(1)
The following is a DFT calculation (PBE) of a relaxed BaGaSCl2 crystal.

## Properties
D(E_F) ... 0.141 states/eV per atom
Magnetic moment ... 0.00 μB/f.u.
Raw total energy ... -3.970 eV/atom
E_form (uncorrected) ... -136.6 kJ/mol of atoms

Cell: 5.168 5.168 4.930 Å, 90.00 90.00 90.00°
Atoms (fractional coordinates):
Ba  0.000  0.000  0.000
Ga  0.500  0.500  0.500
S  0.500  0.500  0.000
Cl  0.000  0.500  0.500
Cl  0.500  0.000  0.500



(2)
The following is a DFT calculation (PBE) of a relaxed Hf2MgBr8 crystal.

## Properties
D(E_F) ... 0.077 states/eV per atom
Magnetic moment ... 0.00 μB/f.u.
Raw total energy ... -4.333 eV/atom
E_form (uncorrected) ... -112.1 kJ/mol of atoms

Cell: 7.644 7.644 6.884 Å, 100.02 100.02 56.76°
Atoms (fractional coordinates):
Hf  0.250  0.250  0.002
Hf  0.750  0.750  0.998
Mg  0.500  0.500  0.500
Br  0.129  0.129  0.234
Br  0.142  0.613  0.224
Br  0.352  0.352  0.711
Br  0.387  0.858  0.776
Br  0.613  0.142  0.224
Br  0.648  0.648  0.289
Br  0.858  0.387  0.776
Br  0.871  0.871  0.766



(3)
The following is a DFT calculation (PBE) of a relaxed RbPuI6 crystal.

## Properties
D(E_F) ... 1.654 states/eV per atom
Magnetic moment ... 2.94 μB/f.u.
Raw total energy ... -3.895 eV/atom
E_form (uncorrected) ... -79.1 kJ/mol of atoms

Cell: 9.412 9.412 9.412 Å, 60.00 60.00 60.00°
Atoms (fractional coordinates):
Rb  0.000  0.000  0.000
Pu  0.500  0.500  0.500
I  0.279  0.279  0.721
I  0.279  0.721  0.279
I  0.279  0.721  0.721
I  0.721  0.279  0.279
I  0.721  0.279  0.721
I  0.721  0.721  0.279